Record 1
# TiFe3Au

TiFe3Au at its PBEsol-relaxed geometry (meta-GGA SCAN, Alexandria).

extended XYZ file:
```
5
Lattice="4.6188 0.0000 0.0000 0.0000 4.6188 0.0000 0.0000 0.0000 4.6188" Properties=species:S:1:pos:R:3 pbc="T T T"
Ti 2.3094 2.3094 2.3094
Fe 2.3094 0.0000 0.0000
Fe 0.0000 0.0000 2.3094
Au 0.0000 0.0000 0.0000
Fe 0.0000 2.3094 0.0000
```

Summary:
The value obtained for the formation enthalpy at 0 K is 1.001 eV/atom. Its crystal system is cubic.



Record 2
# Ca2H3Br

Ca2H3Br at its PBEsol-relaxed geometry (meta-GGA SCAN, Alexandria).

extended XYZ file:
```
6
Lattice="-3.3800 -1.0563 -1.4899 3.1987 -1.9014 -0.9554 -0.9578 -4.1990 5.1500" Properties=species:S:1:pos:R:3 pbc="T T T"
H 0.0000 0.0000 0.0000
H -1.3305 -1.9667 -0.5406
Ca -1.9657 -4.7513 2.8747
Ca 0.8266 -2.4054 -0.1699
H 0.1914 -5.1900 3.2454
Br -0.4789 -2.0995 2.5750
```

Summary:
Its crystal system is trigonal. The final energy is -9.27 eV/atom.